1.
# Co2CuIF, optimized geometry, DFT PBE with a Hubbard U
# VASP energy, eV for the cell shown: -16.3
# ΔE to the lowest computed polymorph, eV/atom: 0.0000
# N(E_F), states/eV/f.u.: 2.92
data_Co2CuIF
_symmetry_space_group_name_H-M 'P 4/m m m'
_symmetry_Int_Tables_number 123
_symmetry_space_group_name_Hall '-P 4 2'
_cell_length_a 3.995
_cell_length_b 3.995
_cell_length_c 5.977
_cell_angle_alpha 90.00
_cell_angle_beta 90.00
_cell_angle_gamma 90.00
loop_
_atom_site_label
_atom_site_type_symbol
_atom_site_fract_x
_atom_site_fract_y
_atom_site_fract_z
_atom_site_occupancy
Co1 Co 0.000 0.500 0.000 1
Cu1 Cu 0.000 0.000 0.500 1
I1 I 0.500 0.500 0.500 1
F1 F 0.500 0.500 0.000 1



2.
# Co2CuIF, optimized geometry, DFT PBE with a Hubbard U
# VASP energy, eV for the cell shown: -13.7
# ΔE to the lowest computed polymorph, eV/atom: 0.5173
# N(E_F), states/eV/f.u.: 1.96
data_Co2CuIF
_symmetry_space_group_name_H-M 'P 4/m m m'
_symmetry_Int_Tables_number 123
_symmetry_space_group_name_Hall '-P 4 2'
_cell_length_a 5.037
_cell_length_b 5.037
_cell_length_c 4.987
_cell_angle_alpha 90.00
_cell_angle_beta 90.00
_cell_angle_gamma 90.00
loop_
_atom_site_label
_atom_site_type_symbol
_atom_site_fract_x
_atom_site_fract_y
_atom_site_fract_z
_atom_site_occupancy
Co1 Co 0.000 0.500 0.000 1
Cu1 Cu 0.000 0.000 0.500 1
I1 I 0.000 0.000 0.000 1
F1 F 0.500 0.500 0.500 1